Entry 1:
A relaxed structure of PmAl2Os2, computed with PBE.

```
data_PmAl2Os2
_chemical_formula_sum 'Pm4 Al8 Os8'
_cell_length_a 4.029
_cell_length_b 4.029
_cell_length_c 22.683
_cell_angle_alpha 90.00
_cell_angle_beta 90.00
_cell_angle_gamma 90.00
_space_group_name_H-M_alt 'I 4/m m m'
_space_group_IT_number 139
_space_group_name_Hall '-I 4 2'
loop_
_atom_site_label
_atom_site_fract_x
_atom_site_fract_y
_atom_site_fract_z
_atom_site_occupancy
Pm1 0.000 0.000 0.125 1
Al1 0.000 0.000 0.319 1
Al2 0.000 0.500 0.000 1
Os1 0.000 0.000 0.432 1
Os2 0.000 0.500 0.250 1
```

Properties
**DOS(E_F)**: 13.92 states/eV/cell
**Energy**: -7.240 eV/atom
**Energy of formation**: -0.301 eV/atom


Entry 2:
A relaxed structure of Pr2HoZr, computed with PBE.

```
data_Pr2HoZr
_chemical_formula_sum 'Pr6 Ho3 Zr3'
_cell_length_a 3.5329
_cell_length_b 3.5329
_cell_length_c 34.4281
_cell_angle_alpha 90.00
_cell_angle_beta 90.00
_cell_angle_gamma 120.00
_space_group_name_H-M_alt 'R 3 m'
_space_group_IT_number 160
_space_group_name_Hall 'R 3 -2"'
loop_
_atom_site_label
_atom_site_fract_x
_atom_site_fract_y
_atom_site_fract_z
_atom_site_occupancy
Pr1 0.0000 0.0000 0.0000 1
Pr2 0.0000 0.0000 0.1584 1
Ho1 0.0000 0.0000 0.5781 1
Zr1 0.0000 0.0000 0.7457 1
```

Properties
**DOS(E_F)**: 17.67 states/eV/cell
**Offset from the most stable computed form**: 0.66 kJ/mol of atoms
**Energy**: -5.530 eV/atom
**Energy of formation**: 0.141 eV/atom


Entry 3:
A relaxed structure of AcGdPa, computed with PBE.

```
data_AcGdPa
_chemical_formula_sum 'Ac1 Gd1 Pa1'
_cell_length_a 3.5678
_cell_length_b 3.5678
_cell_length_c 8.9070
_cell_angle_alpha 90.00
_cell_angle_beta 90.00
_cell_angle_gamma 120.00
_space_group_name_H-M_alt 'P 3 m 1'
_space_group_IT_number 156
_space_group_name_Hall 'P 3 -2"'
loop_
_atom_site_label
_atom_site_fract_x
_atom_site_fract_y
_atom_site_fract_z
_atom_site_occupancy
Ac1 0.0000 0.0000 0.0000 1
Gd1 0.3333 0.6667 0.6275 1
Pa1 0.6667 0.3333 0.3242 1
```

Properties
**DOS(E_F)**: 5.31 states/eV/cell
**Energy**: -8.959 eV/atom
**Energy of formation**: 0.270 eV/atom


no.,V (Å³ per atom)
1,18.41
2,31.01
3,32.73